An optimized crystal structure of AgIrCl2, computed with PBE.

The structure belongs to space group F-43m (No. 216); the cell edges are 6.6847, 6.6847 and 6.6847 Å and the angles 90.00°, 90.00° and 90.00°. Symmetry generates all atoms from Ag at (0.0000, 0.0000, 0.0000), Ir at (0.2500, 0.2500, 0.2500), Cl at (0.0000, 0.0000, 0.5000) and Cl at (0.2500, 0.2500, 0.7500).

The calculation puts the volume at 299 Å³/cell. As for the crystal system: cubic. The value obtained for the polymorph energy (0 for the lowest one) is 958 meV per atom. Its uncorrected formation energy is 993 meV/atom.